1.
First-principles (GGA-PBE) data for an optimized crystal structure of SrPAuCl2, as listed in Alexandria.

Summary:
uncorrected formation energy: -0.1456 eV/atom
magnetic moment: 2.0 μB/f.u.
energy relative to the lowest polymorph listed for this composition: 405 meV per atom

abc: 5.4142 5.4142 7.1094
angles: 90.00 90.00 90.00
Closest atoms and distances in Å follow each position.
Space group P4/mmm (No. 123)
Symmetry-distinct sites (fractional):
Sr  0.0000  0.0000  0.0000 [1 per cell]  4 Cl 2.71
P  0.0000  0.0000  0.5000 [1 per cell]  2 Sr 3.55, 4 Au 3.83
Au  0.5000  0.5000  0.5000 [1 per cell]  4 P 3.83
Cl  0.0000  0.5000  0.0000 [2 per cell]  2 Sr 2.71

=====

2.
First-principles (GGA-PBE) data for an optimized crystal structure of Li2TaCl, as listed in Alexandria.

Summary:
uncorrected formation energy: -0.1215 eV/atom
magnetic moment: 0.3 μB/f.u.
energy relative to the lowest polymorph listed for this composition: 257 meV per atom

abc: 3.0599 3.0599 27.9942
angles: 90.00 90.00 120.00
Closest atoms and distances in Å follow each position.
Space group R3m (No. 160, hexagonal axes)
Symmetry-distinct sites (fractional):
Li  0.0000  0.0000  0.0000 [3 per cell]  9 Li 3.03-3.06, 3 Cl 3.12
Li  0.0000  0.0000  0.2455 [3 per cell]  9 Li 3.03-3.06, 3 Ta 3.03
Ta  0.0000  0.0000  0.4909 [3 per cell]  3 Cl 2.55
Cl  0.0000  0.0000  0.7587 [3 per cell]  3 Ta 2.55

=====

- Among the records above, which one has the highest uncorrected formation energy?
  Li2TaCl